(1)
CdMo2Se | Alexandria via LeMat-Bulk | PBE | optimized geometry; symmetry = No. 99; formation energy from raw total energies = 146.0 meV per atom; volume = 19.07 Å³/atom; polymorph energy (0 for the lowest one) = 0.000 eV per formula unit
1.0
3.2063 0.0000 0.0000
0.0000 3.2063 0.0000
0.0000 0.0000 7.4208
Mo Cd Se
2 1 1
direct
0.5000 0.5000 0.2435
0.0000 0.0000 0.0427
0.5000 0.5000 0.7877
0.0000 0.0000 0.4261

=====

(2)
KTaTc3 | Alexandria via LeMat-Bulk | PBE | optimized geometry; symmetry = No. 221; energy relative to the elements = 1.692 eV/atom; volume = 23.61 Å³/atom; polymorph energy (0 for the lowest one) = 0.000 eV per formula unit
1.0
4.9055 0.0000 0.0000
0.0000 4.9055 0.0000
0.0000 0.0000 4.9055
Tc Ta K
3 1 1
direct
0.0000 0.5000 0.0000
0.0000 0.0000 0.5000
0.5000 0.0000 0.0000
0.0000 0.0000 0.0000
0.5000 0.5000 0.5000

=====

(3)
DyUPb2O8 | Alexandria via LeMat-Bulk | PBE | optimized geometry; symmetry = No. 65; formation energy from raw total energies = -2179.8 meV per atom; volume = 15.58 Å³/atom
1.0
5.1859 -0.0312 -0.0031
0.0043 5.1826 -0.0059
0.0043 0.0079 6.9560
Pb Dy O U
2 1 8 1
direct
0.5000 0.5000 0.7477
0.5000 0.5000 0.2523
0.0000 0.0000 0.5000
0.3082 0.3076 0.5000
0.2976 0.2969 0.0000
0.1798 0.8195 0.7717
0.8202 0.1805 0.2283
0.6918 0.6924 0.5000
0.7024 0.7031 0.0000
0.8202 0.1805 0.7717
0.1798 0.8195 0.2283
0.0000 0.0000 0.0000

=====

(4)
CdSiMo2 | Alexandria via LeMat-Bulk | PBE | optimized geometry; symmetry = No. 35; formation energy from raw total energies = 251.9 meV per atom; volume = 17.11 Å³/atom; polymorph energy (0 for the lowest one) = 0.473 eV per formula unit
1.0
2.7885 0.0011 0.0000
-0.8064 2.6694 0.0000
0.0000 0.0000 9.1918
Mo Cd Si
2 1 1
direct
0.5000 0.5000 0.2546
0.0000 0.0000 0.0218
0.5000 0.5000 0.7581
0.0000 0.0000 0.4655

=====

(5)
Cu2Ge2Pt | Alexandria via LeMat-Bulk | PBE | optimized geometry; symmetry = No. 127; energy relative to the elements = 0.061 eV/atom; volume = 15.06 Å³/atom; polymorph energy (0 for the lowest one) = 0.345 eV per formula unit
1.0
-4.8674 0.9455 4.6724
-2.9214 -5.8684 -1.8557
1.7939 -1.5854 2.1897
Pt Cu Ge
2 4 4
direct
0.0000 0.0000 0.0000
0.5000 0.5000 0.0000
0.3719 0.8719 0.0000
0.6281 0.1281 0.0000
0.8719 0.6281 0.0000
0.1281 0.3719 0.0000
0.8264 0.3264 0.5000
0.3264 0.1736 0.5000
0.1736 0.6736 0.5000
0.6736 0.8264 0.5000

=====

(6)
Ho2Co5Si2B | Alexandria via LeMat-Bulk | PBE | optimized geometry; symmetry = No. 127; formation energy from raw total energies = -226.1 meV per atom; volume = 12.93 Å³/atom
1.0
-0.2672 2.5652 1.0860
-0.1800 -3.7629 8.8440
9.5673 0.7747 0.5243
Ho Co Si B
4 10 4 2
direct
0.0000 0.3289 0.8289
0.0000 0.8289 0.6711
0.0000 0.1711 0.3289
0.0000 0.6711 0.1711
0.5000 0.9499 0.1805
0.5000 0.1805 0.0501
0.5000 0.3195 0.5501
0.5000 0.8195 0.9499
0.5000 0.5000 0.0000
0.5000 0.5501 0.6805
0.5000 0.6805 0.4499
0.5000 0.0501 0.8195
0.5000 0.4499 0.3195
0.5000 0.0000 0.5000
0.0000 0.6339 0.8661
0.0000 0.8661 0.3661
0.0000 0.3661 0.1339
0.0000 0.1339 0.6339
0.0000 0.0000 0.0000
0.0000 0.5000 0.5000

=====

(7)
Er6InOs2 | Alexandria via LeMat-Bulk | PBE | optimized geometry; symmetry = No. 71; energy relative to the elements = -0.336 eV/atom; volume = 25.51 Å³/atom
1.0
7.8859 -0.1411 -3.0012
-4.1974 6.9785 -2.2129
-0.2044 0.1411 8.4352
Er In Os
12 2 4
direct
0.3130 0.6448 0.3318
0.7923 0.7572 0.5494
0.4679 0.2830 0.1848
0.0982 0.2830 0.8152
0.2077 0.2428 0.4506
0.7923 0.2428 0.0351
0.5321 0.7170 0.8152
0.9018 0.7170 0.1848
0.6870 0.3552 0.6682
0.3130 0.9813 0.6682
0.2077 0.7572 0.9649
0.6870 0.0187 0.3318
0.0000 0.0000 0.0000
0.0000 0.5000 0.5000
0.5000 0.3777 0.8777
0.5000 0.6223 0.1223
0.3283 0.0000 0.3283
0.6717 0.0000 0.6717

=====

(8)
Fe5Ni3H12 | Alexandria via LeMat-Bulk | PBE | optimized geometry; total energy = -387.9 eV per cell; symmetry = No. 230; volume = 6.43 Å³/atom
1.0
-2.8301 8.2647 -0.3797
-5.2706 -4.6496 5.2020
8.1336 -0.1513 3.2063
H Fe Ni
48 20 12
direct
0.1455 0.4265 0.0871
0.1605 0.0871 0.9416
0.9129 0.8395 0.5584
0.6455 0.0584 0.2190
0.5871 0.6455 0.4265
0.9265 0.8395 0.7810
0.3395 0.7810 0.4265
0.4265 0.2810 0.3395
0.3545 0.4129 0.0735
0.9265 0.0871 0.6455
0.6605 0.2190 0.5735
0.8545 0.2810 0.4416
0.3395 0.5584 0.4129
0.5735 0.7190 0.6605
0.4265 0.1455 0.5871
0.2810 0.4265 0.8395
0.5735 0.8545 0.4129
0.7810 0.3395 0.9265
0.4129 0.3545 0.5735
0.8545 0.5735 0.9129
0.0584 0.4129 0.8395
0.0584 0.6455 0.7190
0.4416 0.7810 0.8545
0.9416 0.3545 0.2810
0.0735 0.9129 0.3545
0.3545 0.9416 0.7810
0.9416 0.5871 0.1605
0.6605 0.4416 0.5871
0.2190 0.6605 0.0735
0.7190 0.1455 0.0584
0.8395 0.9265 0.2810
0.9129 0.0735 0.8545
0.5871 0.9416 0.6605
0.8395 0.9129 0.0584
0.7810 0.4416 0.3545
0.0871 0.9265 0.1455
0.4416 0.6605 0.0871
0.2190 0.5584 0.6455
0.0735 0.1605 0.2190
0.1455 0.7190 0.5584
0.7190 0.5735 0.1605
0.2810 0.8545 0.9416
0.0871 0.1605 0.4416
0.1605 0.0735 0.7190
0.5584 0.3395 0.9129
0.6455 0.5871 0.9265
0.4129 0.0584 0.3395
0.5584 0.2190 0.1455
0.3750 0.2500 0.1250
0.6250 0.8750 0.2500
0.6250 0.7500 0.8750
0.2500 0.8750 0.1250
0.5000 0.0000 0.5000
0.0000 0.5000 0.0000
0.5000 0.0000 0.0000
0.7500 0.1250 0.8750
0.3750 0.1250 0.7500
0.1250 0.3750 0.2500
0.1250 0.7500 0.3750
0.7500 0.6250 0.3750
0.5000 0.5000 0.5000
0.8750 0.6250 0.7500
0.0000 0.0000 0.0000
0.8750 0.2500 0.6250
0.0000 0.5000 0.5000
0.2500 0.3750 0.6250
0.0000 0.0000 0.5000
0.5000 0.5000 0.0000
0.8750 0.1250 0.2500
0.1250 0.2500 0.8750
0.6250 0.2500 0.3750
0.3750 0.6250 0.2500
0.6250 0.3750 0.7500
0.1250 0.8750 0.7500
0.3750 0.7500 0.6250
0.2500 0.6250 0.8750
0.8750 0.7500 0.1250
0.7500 0.8750 0.6250
0.7500 0.3750 0.1250
0.2500 0.1250 0.3750